Record 1
Density functional theory data (PBE) for a relaxed structure of Cs3KI6.

- Volume: 672.4 Å³/cell
- Uncorrected energy: -2.225 eV per atom
- Formation energy without anion corrections: -0.929 eV per atom

Cell: 9.8337 9.8337 9.8336 Å, 60.00 60.00 90.00°
Site moments in Bohr magnetons follow the coordinates.
Fractional coordinates of all 10 atoms:
K (0.5000, 0.5000, 0.0000)  0.00
I (0.7401, 0.7401, 0.0000)  0.20
I (0.2599, 0.2599, 0.0000)  0.20
I (0.2599, 0.2599, 0.4801)  0.20
I (0.7401, 0.7401, 0.5199)  0.20
I (0.2599, 0.7401, 0.0000)  0.20
I (0.7401, 0.2599, 0.0000)  0.20
Cs (0.0000, 0.0000, 0.0000)  0.01
Cs (0.7500, 0.2500, 0.5000)  0.00
Cs (0.2500, 0.7500, 0.5000)  0.00


Record 2
Density functional theory data (PBE) for a relaxed structure of KSrPb.

- Formation energy: -195 meV per atom
- Volume: 119.7 Å³/cell
- Uncorrected energy: -2.358 eV per atom
- Excess energy over the best structure of this formula in the dataset: 16.7 meV per atom

Cell: 6.6160 6.6160 6.6160 Å, 144.61 133.90 59.43°
Fractional coordinates of all 3 atoms:
K (0.9896, 0.9896, 0.0000)
Sr (0.6904, 0.6904, 0.0000)
Pb (0.3201, 0.3201, 0.0000)


Record 3
Density functional theory data (PBE) for a relaxed structure of YZr2ScTi.

- Formation energy: 1139 meV per atom
- Volume: 135.0 Å³/cell
- Uncorrected energy: -6.418 eV per atom

Cell: 5.0174 5.0174 5.3622 Å, 90.00 90.00 90.00°
Site moments in Bohr magnetons follow the coordinates.
Fractional coordinates of all 5 atoms:
Y (0.0000, 0.0000, 0.5000)  0.17
Ti (0.5000, 0.5000, 0.5000)  1.38
Zr (0.5000, 0.0000, 0.0000)  0.04
Zr (0.0000, 0.5000, 0.0000)  0.04
Sc (0.0000, 0.0000, 0.0000)  0.08